Entry 1:
Entry from Alexandria via LeMat-Bulk: a relaxed Ta3AlAg crystal (GGA-PBE).

abc: 4.703 4.703 4.703
angles: 90.00 90.00 90.00
Sites, in units of the cell vectors:
Ta: 0.000 0.000 0.500
Ta: 0.000 0.500 0.000
Ta: 0.500 0.000 0.000
Al: 0.000 0.000 0.000
Ag: 0.500 0.500 0.500

Summary:
Fermi-level density of states: 8.296 states/eV/f.u.
Formation energy from the elements: 1.365 eV per atom
Energy above the lowest structure with this stoichiometry: 0.0 meV per atom
SG: Pm-3m
Calculated volume: 20.81 Å³ per atom

Entry 2:
Entry from Alexandria via LeMat-Bulk: a relaxed AcRhF crystal (GGA-PBE).

abc: 3.650 3.650 9.559
angles: 90.00 90.00 90.00
Sites, in units of the cell vectors:
Ac: 0.000 0.000 0.000
Ac: 0.500 0.500 0.500
Rh: 0.000 0.000 0.693
Rh: 0.500 0.500 0.193
F: 0.000 0.000 0.420
F: 0.500 0.500 0.920

Summary:
Fermi-level density of states: 1.675 states/eV/f.u.
ΔE_f (raw): -1326 meV/atom
Energy above the lowest structure with this stoichiometry: 588.5 meV per atom
SG: I4mm
Calculated volume: 21.22 Å³ per atom

What did we get for total DFT energy (no corrections)? Answer: -7.0656, -5.7699 eV per atom, in the order shown.
What did we get for magnetization? Answer: 0.0, 0.0 μB/cell, in the order shown.